This record from Alexandria describes crystalline SrLi2Sb at its relaxed geometry. The functional is GGA-PBE.

a = 3.8826 Å, b = 3.8826 Å, c = 7.5685 Å
α = 90.00°, β = 90.00°, γ = 90.00°
With the nearest neighbours (Å) after each atom.
Space group P4mm (No. 99)
Inequivalent atoms, fractional coordinates:
Sr 0.0000 0.0000 0.0000 [1 per cell]  1 Li 3.36, 4 Sb 3.45
Li 0.0000 0.0000 0.5557 [1 per cell]  4 Sb 3.03, 4 Li 3.13, 1 Sr 3.36
Li 0.5000 0.5000 0.3568 [1 per cell]  1 Sb 2.78
Sb 0.5000 0.5000 0.7247 [1 per cell]  5 Li 2.78-3.03

Raw formation energy: -0.369 eV/atom